Density functional theory data (PBE) for a relaxed structure of CdIn3Sn3.

Results
Total magnetization   0.0000 μB/atom
Total energy   -2.979 eV/atom

Geometry as CIF:
```
data_CdIn3Sn3
_symmetry_space_group_name_H-M 'R -3'
_symmetry_Int_Tables_number 148
_symmetry_space_group_name_Hall '-R 3'
_cell_length_a 8.8755
_cell_length_b 8.8755
_cell_length_c 16.6701
_cell_angle_alpha 90.00
_cell_angle_beta 90.00
_cell_angle_gamma 120.00
loop_
_atom_site_label
_atom_site_fract_x
_atom_site_fract_y
_atom_site_fract_z
_atom_site_occupancy
Cd1 0.0000 0.0000 0.2482 1
In1 0.0484 0.8096 0.4146 1
Sn1 0.0486 0.8149 0.9171 1
```



Density functional theory data (PBE) for a relaxed structure of Zr2AlCl.

Results
Formation energy without anion corrections   -0.326 eV per atom
Total magnetization   0.0000 μB/atom

Geometry as CIF:
```
data_Zr2AlCl
_symmetry_space_group_name_H-M 'P 4 m m'
_symmetry_Int_Tables_number 99
_cell_length_a 3.854
_cell_length_b 3.854
_cell_length_c 5.404
_cell_angle_alpha 90.00
_cell_angle_beta 90.00
_cell_angle_gamma 90.00
loop_
_symmetry_equiv_pos_as_xyz
'x,y,z'
'-y,x,z'
'-x,-y,z'
'y,-x,z'
'-x,y,z'
'y,x,z'
'x,-y,z'
'-y,-x,z'
loop_
_atom_site_label
_atom_site_fract_x
_atom_site_fract_y
_atom_site_fract_z
_atom_site_occupancy
Zr1 0.000 0.000 0.000 1
Zr2 0.500 0.500 0.498 1
Al1 0.000 0.000 0.500 1
Cl1 0.500 0.500 0.999 1
```



Density functional theory data (PBE) for a relaxed structure of LaEr2Co.

Results
Total magnetization   0.1453 μB/atom
Total energy   -5.385 eV/atom

Geometry as CIF:
```
data_LaEr2Co
_symmetry_space_group_name_H-M 'P 4/m m m'
_symmetry_Int_Tables_number 123
_symmetry_space_group_name_Hall '-P 4 2'
_cell_length_a 3.395
_cell_length_b 3.395
_cell_length_c 9.027
_cell_angle_alpha 90.00
_cell_angle_beta 90.00
_cell_angle_gamma 90.00
loop_
_atom_site_label
_atom_site_fract_x
_atom_site_fract_y
_atom_site_fract_z
_atom_site_occupancy
La1 0.000 0.000 0.000 1
Er1 0.500 0.500 0.325 1
Co1 0.000 0.000 0.500 1
```



Density functional theory data (PBE) for a relaxed structure of ZrNbRh2.

Results
Total magnetization   0.0000 μB/atom
Total energy   -8.829 eV/atom

Geometry as CIF:
```
data_ZrNbRh2
_symmetry_space_group_name_H-M 'P 4/m m m'
_symmetry_Int_Tables_number 123
_symmetry_space_group_name_Hall '-P 4 2'
_cell_length_a 4.222
_cell_length_b 4.222
_cell_length_c 3.796
_cell_angle_alpha 90.00
_cell_angle_beta 90.00
_cell_angle_gamma 90.00
loop_
_atom_site_label
_atom_site_fract_x
_atom_site_fract_y
_atom_site_fract_z
_atom_site_occupancy
Zr1 0.000 0.000 0.000 1
Nb1 0.500 0.500 0.000 1
Rh1 0.000 0.500 0.500 1
```



Density functional theory data (PBE) for a relaxed structure of CsNbNi3.

Results
Total magnetization   0.5796 μB/atom
Total energy   -3.349 eV/atom

Geometry as CIF:
```
data_CsNbNi3
_symmetry_space_group_name_H-M 'P m -3 m'
_symmetry_Int_Tables_number 221
_symmetry_space_group_name_Hall '-P 4 2 3'
_cell_length_a 4.704
_cell_length_b 4.704
_cell_length_c 4.704
_cell_angle_alpha 90.00
_cell_angle_beta 90.00
_cell_angle_gamma 90.00
loop_
_atom_site_label
_atom_site_fract_x
_atom_site_fract_y
_atom_site_fract_z
_atom_site_occupancy
Cs1 0.000 0.000 0.000 1
Nb1 0.500 0.500 0.500 1
Ni1 0.000 0.000 0.500 1
```



Density functional theory data (PBE) for a relaxed structure of BaBr.

Results
Formation energy without anion corrections   -1.372 eV per atom
Total magnetization   0.0004 μB/atom

Geometry as CIF:
```
data_BaBr
_symmetry_space_group_name_H-M 'I -4 3 m'
_symmetry_Int_Tables_number 217
_symmetry_space_group_name_Hall 'I -4 2 3'
_cell_length_a 10.042
_cell_length_b 10.042
_cell_length_c 10.042
_cell_angle_alpha 90.00
_cell_angle_beta 90.00
_cell_angle_gamma 90.00
loop_
_atom_site_label
_atom_site_fract_x
_atom_site_fract_y
_atom_site_fract_z
_atom_site_occupancy
Ba1 0.186 0.186 0.814 1
Br1 0.135 0.135 0.135 1
```